1.
Compound: TlCdGaAu2
Source: the Alexandria database
Functional: GGA-PBE
Structure: relaxed

Cell: 5.3170 5.3170 5.6734 Å, 90.00 90.00 90.00°
Closest atoms and distances in Å follow each position.
Space group P4/mmm (No. 123)
Unique sites:
Tl  0.0000  0.0000  0.0000 (multiplicity 1)  4 Au 2.66, 2 Cd 2.84
Cd  0.0000  0.0000  0.5000 (multiplicity 1)  2 Tl 2.84
Ga  0.5000  0.5000  0.5000 (multiplicity 1)  4 Cd 3.76, 8 Au 3.89
Au  0.0000  0.5000  0.0000 (multiplicity 2)  2 Tl 2.66

## Properties
Formation enthalpy at 0 K = 2.6 eV/f.u.

***

2.
Compound: Th2ZnHg
Source: the Alexandria database
Functional: GGA-PBE
Structure: relaxed

Cell: 3.7089 3.7089 7.6923 Å, 90.00 90.00 90.00°
Closest atoms and distances in Å follow each position.
Space group P4/mmm (No. 123)
Unique sites:
Th  0.0000  0.0000  0.2365 (multiplicity 2)  4 Zn 3.19, 4 Hg 3.31
Zn  0.5000  0.5000  0.0000 (multiplicity 1)  8 Th 3.19
Hg  0.5000  0.5000  0.5000 (multiplicity 1)  8 Th 3.31, 4 Hg 3.71

## Properties
Formation enthalpy at 0 K = -0.7 eV/f.u.

***

3.
Compound: UMn2Os
Source: the Alexandria database
Functional: GGA-PBE
Structure: relaxed

Cell: 3.9063 3.9063 3.9389 Å, 90.00 90.00 90.00°
Closest atoms and distances in Å follow each position.
Space group P4/mmm (No. 123)
Unique sites:
U  0.0000  0.0000  0.0000 (multiplicity 1)  4 Os 2.76, 8 Mn 2.77
Mn  0.0000  0.5000  0.5000 (multiplicity 2)  4 Mn 2.76, 4 Os 2.77, 4 U 2.77
Os  0.5000  0.5000  0.0000 (multiplicity 1)  4 U 2.76, 8 Mn 2.77

## Properties
Formation enthalpy at 0 K = 0.2 eV/f.u.

***

4.
Compound: GdErMg
Source: the Alexandria database
Functional: GGA-PBE
Structure: relaxed

Cell: 5.4392 5.4392 3.3665 Å, 90.00 90.00 120.00°
Closest atoms and distances in Å follow each position.
Space group P3m1 (No. 156)
Unique sites:
Gd  0.0000  0.0000  0.0000 (multiplicity 1)  3 Mg 3.30, 2 Gd 3.37, 3 Er 3.44
Er  0.6667  0.3333  0.5822 (multiplicity 1)  3 Mg 3.28, 2 Er 3.37, 3 Gd 3.44
Mg  0.3333  0.6667  0.3032 (multiplicity 1)  3 Er 3.28, 3 Gd 3.30, 2 Mg 3.37

## Properties
Formation enthalpy at 0 K = 0.1 eV/f.u.

***

5.
Compound: Ce2GeAs3Pd4
Source: the Alexandria database
Functional: GGA-PBE
Structure: relaxed

Cell: 4.3707 4.3707 10.1375 Å, 90.00 90.00 90.00°
Closest atoms and distances in Å follow each position.
Space group P-4m2 (No. 115)
Unique sites:
Ce  0.0000  0.5000  0.2483 (multiplicity 2)  6 As 3.30-3.36, 8 Pd 3.33-3.35, 2 Ge 3.36
Ge  0.0000  0.0000  0.5000 (multiplicity 1)  4 Pd 2.52
As  0.0000  0.5000  0.8657 (multiplicity 2)  5 Pd 2.44-2.57
As  0.5000  0.5000  0.5000 (multiplicity 1)  4 Pd 2.52
Pd  0.0000  0.0000  0.0000 (multiplicity 1)  4 As 2.57
Pd  0.0000  0.5000  0.6247 (multiplicity 2)  3 As 2.44-2.52, 2 Ge 2.52
Pd  0.5000  0.5000  0.0000 (multiplicity 1)  4 As 2.57

## Properties
Formation enthalpy at 0 K = -8.4 eV/f.u.

***

6.
Compound: SrSi2Au
Source: the Alexandria database
Functional: GGA-PBE
Structure: relaxed

Cell: 6.9539 6.9539 6.9539 Å, 90.00 90.00 90.00°
Closest atoms and distances in Å follow each position.
Space group Fm-3m (No. 225)
Unique sites:
Sr  0.0000  0.0000  0.0000 (multiplicity 4)  8 Si 3.01
Si  0.2500  0.2500  0.2500 (multiplicity 8)  4 Sr 3.01, 4 Au 3.01
Au  0.0000  0.0000  0.5000 (multiplicity 4)  8 Si 3.01

## Properties
Energy relative to the elements, uncorrected = 0.154 eV per atom

***

no.,M_tot (μB per atom)
1,0.000
2,0.000
3,0.739
4,2.457
5,0.133
6,0.000